[1]
Compound: CuMo4PC2
Source: OQMD via LeMat-Bulk
Functional: PBE
Structure: optimized geometry

Summary:
Total magnetization: 0.004 μB per cell
Total energy: -0.653 Ry/atom

Cell lengths 3.1516, 3.1516, 12.0221 Å; angles 90.00, 90.00, 120.00 degrees
Space group P-6m2 (No. 187)
Inequivalent atoms, fractional coordinates:
Cu 0.0000 0.0000 0.0000
Mo 0.0000 0.0000 0.3560
Mo 0.3333 0.6667 0.1692
P 0.3333 0.6667 0.5000
C 0.6667 0.3333 0.2523

[2]
Compound: CuMo4PbC2
Source: OQMD via LeMat-Bulk
Functional: PBE
Structure: optimized geometry

Summary:
Total magnetization: 0.059 μB per cell
Total energy: -0.620 Ry/atom

Cell lengths 3.1574, 3.1574, 13.3202 Å; angles 90.00, 90.00, 120.00 degrees
Space group P-6m2 (No. 187)
Inequivalent atoms, fractional coordinates:
Cu 0.0000 0.0000 0.0000
Mo 0.0000 0.0000 0.3157
Mo 0.6667 0.3333 0.1503
Pb 0.6667 0.3333 0.5000
C 0.3333 0.6667 0.2339

[3]
Compound: CuMo4C2S
Source: OQMD via LeMat-Bulk
Functional: PBE
Structure: optimized geometry

Summary:
Total magnetization: 0.003 μB per cell
Total energy: -0.638 Ry/atom

Cell lengths 3.1259, 3.1259, 12.3027 Å; angles 90.00, 90.00, 120.00 degrees
Space group P-6m2 (No. 187)
Inequivalent atoms, fractional coordinates:
Cu 0.0000 0.0000 0.0000
Mo 0.0000 0.0000 0.3484
Mo 0.3333 0.6667 0.1661
C 0.6667 0.3333 0.2522
S 0.3333 0.6667 0.5000